1.
First-principles (GGA-PBE) data for a relaxed structure of Ac2In4CoSn2, as listed in Alexandria via LeMat-Bulk.

Summary:
symmetry = No. 139

abc: 6.976 6.976 6.976
angles: 89.41 120.34 120.34
Fractional coordinates of all 9 atoms:
1 Sn 0.000 0.736 0.736
2 Sn 0.000 0.264 0.264
3 In 0.000 0.271 0.729
4 In 0.000 0.729 0.271
5 In 0.541 0.271 0.271
6 In 0.459 0.729 0.729
7 Ac 0.500 0.750 0.250
8 Ac 0.500 0.250 0.750
9 Co 0.000 0.000 0.000

---

2.
First-principles (GGA-PBE) data for a relaxed structure of Ac4TlInCo, as listed in Alexandria via LeMat-Bulk.

Summary:
symmetry = No. 63

abc: 7.693 7.702 9.405
angles: 90.00 114.14 90.00
Fractional coordinates of all 14 atoms:
1 Co 0.251 0.750 0.501
2 Co 0.749 0.250 0.499
3 Ac 0.500 0.500 0.500
4 Ac 0.425 0.750 0.850
5 Ac 0.925 0.250 0.850
6 Ac 0.000 0.000 0.500
7 Ac 0.075 0.750 0.150
8 Ac 0.575 0.250 0.150
9 Ac 0.000 0.500 0.500
10 Ac 0.500 0.000 0.500
11 Tl 0.116 0.250 0.233
12 Tl 0.884 0.750 0.767
13 In 0.617 0.750 0.234
14 In 0.383 0.250 0.766

---

3.
First-principles (GGA-PBE) data for a relaxed structure of Ac3Tl2In3Co, as listed in Alexandria via LeMat-Bulk.

Summary:
symmetry = No. 189

abc: 4.822 7.931 7.931
angles: 120.00 90.00 90.00
Fractional coordinates of all 9 atoms:
1 In 0.500 0.224 0.224
2 In 0.500 0.000 0.776
3 In 0.500 0.776 0.000
4 Ac 0.000 0.383 0.000
5 Ac 0.000 0.000 0.383
6 Ac 0.000 0.617 0.617
7 Tl 0.500 0.667 0.333
8 Tl 0.500 0.333 0.667
9 Co 0.000 0.000 0.000

---

We obtain ρ values of 8.41 8.40 9.44 g/cm³ for the records listed above, in that order.
We obtain density of states at the Fermi level values of 0.45 0.86 0.68 states/eV/atom for the records listed above, in that order.
We obtain E_form values of -0.36 -0.19 -0.32 eV per atom for the records listed above, in that order.